(1)
Compound: ZnCuTe3
Source: Alexandria via LeMat-Bulk
Functional: PBE-GGA
Structure: relaxed

Unit cell a=5.148 b=5.148 c=5.148 alpha=90.00 beta=90.00 gamma=90.00
Fractional coordinates of all 5 atoms:
Zn 0.500 0.500 0.500
Te 0.000 0.500 0.000
Te 0.000 0.000 0.500
Te 0.500 0.000 0.000
Cu 0.000 0.000 0.000

Uncorrected formation energy: 0.49 eV/atom
Relative energy among the computed polymorphs: 0.000 eV per formula unit
Fermi-level density of states: 6.6 states/eV per cell
Symmetry: No. 221

***

(2)
Compound: NaMg3Ru
Source: Alexandria via LeMat-Bulk
Functional: PBE-GGA
Structure: relaxed

Unit cell a=5.038 b=5.038 c=5.038 alpha=90.00 beta=90.00 gamma=90.00
Fractional coordinates of all 5 atoms:
Ru 0.000 0.000 0.000
Mg 0.000 0.500 0.000
Mg 0.000 0.000 0.500
Mg 0.500 0.000 0.000
Na 0.500 0.500 0.500

E_form: 20.1 kJ per mole of atoms
Relative energy among the computed polymorphs: 0.000 eV per formula unit
Fermi-level density of states: 1.7 states/eV per cell
Symmetry: No. 221

***

(3)
Compound: Ac8HOs3I4
Source: Alexandria via LeMat-Bulk
Functional: PBE-GGA
Structure: relaxed

Unit cell a=8.675 b=9.983 c=8.677 alpha=115.79 beta=119.99 gamma=90.00
Fractional coordinates of all 16 atoms:
Ac 0.231 0.683 0.952
Ac 0.232 0.683 0.463
Ac 0.271 0.312 0.541
Ac 0.721 0.683 0.952
Ac 0.279 0.317 0.048
Ac 0.729 0.688 0.459
Ac 0.768 0.317 0.537
Ac 0.769 0.317 0.048
H 0.000 0.500 0.000
Os 0.500 0.500 0.000
Os 0.500 0.500 0.500
Os 0.000 0.500 0.500
I 0.500 0.000 0.000
I 0.500 0.000 0.500
I 0.000 0.000 0.000
I 0.000 0.000 0.500

VASP energy: -5.396 eV/atom
Fermi-level density of states: 6.3 states/eV per cell
Symmetry: No. 166

***

(4)
Compound: NaAg3Sn3
Source: Alexandria via LeMat-Bulk
Functional: PBE-GGA
Structure: relaxed

Unit cell a=8.752 b=8.752 c=7.007 alpha=51.35 beta=51.35 gamma=60.00
Fractional coordinates of all 14 atoms:
Na 0.246 0.246 0.262
Na 0.754 0.754 0.738
Ag 0.470 0.589 0.751
Ag 0.589 0.191 0.751
Ag 0.191 0.470 0.751
Ag 0.809 0.530 0.249
Ag 0.411 0.809 0.249
Ag 0.530 0.411 0.249
Sn 0.163 0.678 0.231
Sn 0.928 0.163 0.231
Sn 0.678 0.928 0.231
Sn 0.322 0.072 0.769
Sn 0.072 0.837 0.769
Sn 0.837 0.322 0.769

E_form: -2.4 kJ per mole of atoms
Relative energy among the computed polymorphs: 0.000 eV per formula unit
Fermi-level density of states: 3.7 states/eV per cell
Symmetry: No. 148

***

(5)
Compound: CdSi2S
Source: Alexandria via LeMat-Bulk
Functional: PBE-GGA
Structure: relaxed

Unit cell a=4.690 b=4.690 c=4.690 alpha=60.00 beta=60.00 gamma=60.00
Fractional coordinates of all 4 atoms:
S 0.000 0.000 0.000
Si 0.250 0.250 0.250
Si 0.750 0.750 0.750
Cd 0.500 0.500 0.500

Uncorrected formation energy: 0.67 eV/atom
Relative energy among the computed polymorphs: 1.216 eV per formula unit
Fermi-level density of states: 2.0 states/eV per cell
Symmetry: No. 225

***

(6)
Compound: HgTeSI2
Source: Alexandria via LeMat-Bulk
Functional: PBE-GGA
Structure: relaxed

Unit cell a=5.939 b=5.939 c=5.749 alpha=90.00 beta=90.00 gamma=90.00
Each line ends with the local moment (μB).
Fractional coordinates of all 5 atoms:
I 0.000 0.500 0.000  0.18
I 0.500 0.000 0.000  0.18
S 0.500 0.500 0.500  1.15
Te 0.000 0.000 0.500  0.65
Hg 0.000 0.000 0.000  0.01

Uncorrected formation energy: 0.77 eV/atom
Relative energy among the computed polymorphs: 2.007 eV per formula unit
Fermi-level density of states: 6.7 states/eV per cell
Symmetry: No. 123